# La2TlIr PBE optimized geometry
# calculated total energy = -22.59 eV/f.u.
# energy above the lowest structure with this stoichiometry = 0.229 eV per atom
# total moment = 0.00 μB/atom
# formation energy from the elements = -377 meV per atom
data_La2TlIr
_cell_length_a 8.3663
_cell_length_b 5.2311
_cell_length_c 3.9358
_cell_angle_alpha 89.99
_cell_angle_beta 61.95
_cell_angle_gamma 128.52
_symmetry_space_group_name_H-M 'P 1'
_symmetry_Int_Tables_number 1
loop_
_symmetry_equiv_pos_as_xyz
'x,y,z'
loop_
_atom_site_label
_atom_site_fract_x
_atom_site_fract_y
_atom_site_fract_z
_atom_site_occupancy
Ir1 0.5000 0.5000 0.0000 1
La1 0.0000 0.0000 0.0000 1
La2 0.5000 0.0000 0.5000 1
Tl1 0.0000 0.5000 0.5000 1



# La8TlIr2 PBE optimized geometry
# calculated total energy = -63.50 eV/f.u.
# total moment = 0.00 μB/atom
# formation energy from the elements = -363 meV per atom
data_La8TlIr2
_cell_length_a 5.7683
_cell_length_b 8.4002
_cell_length_c 8.4002
_cell_angle_alpha 116.35
_cell_angle_beta 97.49
_cell_angle_gamma 97.49
_symmetry_space_group_name_H-M 'P 1'
_symmetry_Int_Tables_number 1
loop_
_symmetry_equiv_pos_as_xyz
'x,y,z'
loop_
_atom_site_label
_atom_site_fract_x
_atom_site_fract_y
_atom_site_fract_z
_atom_site_occupancy
La1 0.9460 0.9156 0.6670 1
La2 0.9460 0.6670 0.9156 1
La3 0.3004 0.5965 0.5965 1
La4 0.5000 0.7512 0.2488 1
La5 0.5000 0.2488 0.7512 1
La6 0.6996 0.4035 0.4035 1
La7 0.0540 0.3330 0.0844 1
La8 0.0540 0.0844 0.3330 1
Tl1 0.5000 0.0000 0.0000 1
Ir1 0.0000 0.2890 0.7110 1
Ir2 0.0000 0.7110 0.2890 1



# La3TlIr PBE optimized geometry
# calculated total energy = -27.31 eV/f.u.
# energy above the lowest structure with this stoichiometry = 0.280 eV per atom
# total moment = 0.00 μB/atom
# formation energy from the elements = -261 meV per atom
data_La3TlIr
_cell_length_a 6.7999
_cell_length_b 6.7999
_cell_length_c 6.7999
_cell_angle_alpha 80.90
_cell_angle_beta 80.90
_cell_angle_gamma 80.90
_symmetry_space_group_name_H-M 'P 1'
_symmetry_Int_Tables_number 1
loop_
_symmetry_equiv_pos_as_xyz
'x,y,z'
loop_
_atom_site_label
_atom_site_fract_x
_atom_site_fract_y
_atom_site_fract_z
_atom_site_occupancy
Tl1 0.0000 0.0000 0.0000 1
Tl2 0.5000 0.5000 0.5000 1
Ir1 0.2500 0.2500 0.2500 1
Ir2 0.7500 0.7500 0.7500 1
La1 0.9378 0.5622 0.2500 1
La2 0.5622 0.2500 0.9378 1
La3 0.2500 0.9378 0.5622 1
La4 0.7500 0.0622 0.4378 1
La5 0.4378 0.7500 0.0622 1
La6 0.0622 0.4378 0.7500 1



# La11Tl9Ir4 PBE optimized geometry
# calculated total energy = -124.35 eV/f.u.
# total moment = 0.00 μB/atom
# formation energy from the elements = -559 meV per atom
data_La11Tl9Ir4
_cell_length_a 3.9011
_cell_length_b 13.7793
_cell_length_c 13.7793
_cell_angle_alpha 112.20
_cell_angle_beta 90.00
_cell_angle_gamma 90.00
_symmetry_space_group_name_H-M 'P 1'
_symmetry_Int_Tables_number 1
loop_
_symmetry_equiv_pos_as_xyz
'x,y,z'
loop_
_atom_site_label
_atom_site_fract_x
_atom_site_fract_y
_atom_site_fract_z
_atom_site_occupancy
La1 0.0000 0.5803 0.9147 1
La2 0.0000 0.4197 0.0853 1
La3 0.0000 0.9147 0.5803 1
La4 0.0000 0.0853 0.4197 1
La5 0.0000 0.6255 0.3745 1
La6 0.0000 0.3745 0.6255 1
La7 0.0000 0.8385 0.1615 1
La8 0.0000 0.1615 0.8385 1
La9 0.0000 0.0000 0.0000 1
La10 0.0000 0.6871 0.6871 1
La11 0.0000 0.3129 0.3129 1
Tl1 0.5000 0.6355 0.1567 1
Tl2 0.5000 0.3645 0.8433 1
Tl3 0.5000 0.1567 0.6355 1
Tl4 0.5000 0.8433 0.3645 1
Tl5 0.5000 0.7837 0.9259 1
Tl6 0.5000 0.2163 0.0741 1
Tl7 0.5000 0.9259 0.7837 1
Tl8 0.5000 0.0741 0.2163 1
Tl9 0.5000 0.5000 0.5000 1
Ir1 0.5000 0.5521 0.7542 1
Ir2 0.5000 0.4479 0.2458 1
Ir3 0.5000 0.7542 0.5521 1
Ir4 0.5000 0.2458 0.4479 1